# 1
## LiPm12Pb6 (PBE)

Data for a relaxed structure of LiPm12Pb6.

Cell and atoms, written as POSCAR:
```
LiPm12Pb6
1.0
8.372 0.441 0.528
-0.833 8.342 0.528
-0.833 -0.971 8.302
Pm Li Pb
12 1 6
Direct
0.645 0.964 0.895
0.964 0.895 0.645
0.036 0.105 0.355
0.541 0.447 0.805
0.105 0.355 0.036
0.895 0.645 0.964
0.447 0.805 0.541
0.553 0.195 0.459
0.459 0.553 0.195
0.195 0.459 0.553
0.805 0.541 0.447
0.355 0.036 0.105
0.000 0.000 0.000
0.265 0.707 0.867
0.735 0.293 0.133
0.707 0.867 0.265
0.867 0.265 0.707
0.293 0.133 0.735
0.133 0.735 0.293
```

---

# 2
## Li4Pm3Pb4 (PBE)

Data for a relaxed structure of Li4Pm3Pb4.

Cell and atoms, written as POSCAR:
```
Li4Pm3Pb4
1.0
4.566 0.000 -1.257
-0.823 6.647 -2.988
-0.001 -0.038 8.916
Pb Li Pm
4 4 3
Direct
0.215 0.715 0.430
0.785 0.285 0.570
0.500 0.207 0.000
0.500 0.793 0.000
0.327 0.138 0.654
0.673 0.862 0.346
0.673 0.484 0.346
0.327 0.516 0.654
0.000 0.500 0.000
0.872 0.872 0.745
0.128 0.128 0.255
```

---

# 3
## LiPmPb (PBE)

Data for a relaxed structure of LiPmPb.

Cell and atoms, written as POSCAR:
```
LiPmPb
1.0
4.290 0.000 0.000
0.000 4.290 0.000
-2.145 -2.145 4.503
Pm Li Pb
1 1 1
Direct
0.278 0.278 0.555
0.946 0.946 0.892
0.626 0.626 0.253
```

---

# 4
## Li5Pm4Pb6 (PBE)

Data for a relaxed structure of Li5Pm4Pb6.

Cell and atoms, written as POSCAR:
```
Li5Pm4Pb6
1.0
4.848 0.000 0.000
-2.424 10.538 0.000
0.000 0.000 15.556
Li Pm Pb
10 8 12
Direct
0.830 0.660 0.130
0.677 0.353 0.129
0.535 0.069 0.135
0.465 0.931 0.635
0.664 0.328 0.464
0.323 0.647 0.629
0.170 0.340 0.630
0.336 0.672 0.964
0.335 0.670 0.296
0.665 0.330 0.796
0.043 0.086 0.499
0.838 0.676 0.797
0.957 0.914 0.999
0.162 0.324 0.297
0.164 0.327 0.962
0.043 0.086 0.762
0.957 0.914 0.262
0.836 0.673 0.462
0.562 0.125 0.331
0.236 0.472 0.784
0.764 0.528 0.284
0.405 0.810 0.130
0.437 0.873 0.431
0.563 0.127 0.931
0.438 0.875 0.831
0.765 0.530 0.975
0.083 0.166 0.129
0.917 0.834 0.629
0.235 0.470 0.475
0.595 0.190 0.630
```

---

# 5
## LiPm4Pb5 (PBE)

Data for a relaxed structure of LiPm4Pb5.

Cell and atoms, written as POSCAR:
```
LiPm4Pb5
1.0
-3.257 1.032 -1.174
-1.518 -2.738 1.803
-2.249 12.716 17.418
Pb Pm Li
5 4 1
Direct
0.500 0.500 0.711
0.500 0.500 0.500
0.500 0.500 0.079
0.500 0.500 0.289
0.500 0.500 0.921
0.000 0.000 0.394
0.000 0.000 0.606
0.000 0.000 0.816
0.000 0.000 0.184
0.000 0.000 0.000
```

---

# 6
## Li4PmPb4 (PBE)

Data for a relaxed structure of Li4PmPb4.

Cell and atoms, written as POSCAR:
```
Li4PmPb4
1.0
-0.842 2.202 6.319
-3.340 -5.657 1.526
8.275 -4.193 2.564
Li Pb Pm
8 8 2
Direct
0.720 0.000 0.579
0.000 0.720 0.421
0.220 0.500 0.921
0.500 0.220 0.079
0.280 0.000 0.579
0.000 0.280 0.421
0.780 0.500 0.921
0.500 0.780 0.079
0.272 0.000 0.288
0.228 0.500 0.212
0.000 0.272 0.712
0.728 0.000 0.288
0.500 0.772 0.788
0.000 0.728 0.712
0.772 0.500 0.212
0.500 0.228 0.788
0.000 0.000 0.000
0.500 0.500 0.500
```

---

# 7
## Li6PmPb6 (PBE)

Data for a relaxed structure of Li6PmPb6.

Cell and atoms, written as POSCAR:
```
Li6PmPb6
1.0
5.951 0.000 0.000
2.975 7.058 0.152
2.975 0.321 7.052
Li Pb Pm
6 6 1
Direct
0.500 0.000 0.500
0.500 0.500 0.000
0.500 0.248 0.752
0.500 0.752 0.248
0.000 0.000 0.500
0.000 0.500 0.000
0.336 0.664 0.664
0.000 0.658 0.342
0.666 0.834 0.834
0.334 0.166 0.166
0.664 0.336 0.336
0.000 0.342 0.658
0.000 0.000 0.000
```

---

# 8
## LiPm2Pb6 (PBE)

Data for a relaxed structure of LiPm2Pb6.

Cell and atoms, written as POSCAR:
```
LiPm2Pb6
1.0
4.606 0.000 0.552
0.014 7.311 -0.116
-0.972 -3.784 8.113
Pm Pb Li
2 6 1
Direct
0.500 0.269 0.540
0.500 0.731 0.460
0.000 0.920 0.294
0.000 0.080 0.706
0.000 0.630 0.698
0.500 0.278 0.997
0.000 0.370 0.302
0.500 0.722 0.003
0.000 0.000 0.000
```

---

# 9
## Li2PmPb2 (PBE)

Data for a relaxed structure of Li2PmPb2.

Cell and atoms, written as POSCAR:
```
Li2PmPb2
1.0
3.256 0.000 0.000
0.000 8.534 0.000
0.000 0.000 8.534
Pm Li Pb
2 4 4
Direct
0.000 0.000 0.000
0.000 0.500 0.500
0.000 0.885 0.615
0.000 0.115 0.385
0.000 0.385 0.885
0.000 0.615 0.115
0.500 0.178 0.678
0.500 0.822 0.322
0.500 0.678 0.822
0.500 0.322 0.178
```

---

# 10
## LiPmPb (PBE)

Data for a relaxed structure of LiPmPb.

Cell and atoms, written as POSCAR:
```
LiPmPb
1.0
4.602 0.000 0.000
0.000 4.602 0.000
0.000 0.000 7.309
Pm Pb Li
2 2 2
Direct
0.500 0.000 0.182
0.000 0.500 0.818
0.000 0.500 0.264
0.500 0.000 0.736
0.500 0.500 0.500
0.000 0.000 0.500
```

---

# 11
## Li3Pm12Pb5 (PBE)

Data for a relaxed structure of Li3Pm12Pb5.

Cell and atoms, written as POSCAR:
```
Li3Pm12Pb5
1.0
-4.836 11.824 -9.588
-7.798 0.898 13.910
15.702 1.340 2.603
Pm Li Pb
48 12 20
Direct
0.903 0.070 0.627
0.403 0.127 0.570
0.332 0.776 0.403
0.430 0.056 0.332
0.403 0.276 0.332
0.168 0.070 0.944
0.832 0.930 0.056
0.570 0.627 0.403
0.070 0.903 0.127
0.224 0.668 0.097
0.070 0.168 0.444
0.873 0.597 0.930
0.597 0.873 0.430
0.930 0.832 0.556
0.556 0.224 0.127
0.627 0.570 0.903
0.127 0.403 0.070
0.724 0.597 0.168
0.276 0.873 0.944
0.056 0.430 0.832
0.097 0.168 0.224
0.930 0.097 0.873
0.373 0.430 0.097
0.168 0.097 0.724
0.224 0.556 0.627
0.444 0.776 0.873
0.903 0.832 0.776
0.556 0.332 0.930
0.724 0.127 0.056
0.944 0.373 0.276
0.627 0.056 0.224
0.873 0.276 0.444
0.668 0.444 0.570
0.944 0.570 0.168
0.276 0.403 0.832
0.776 0.332 0.903
0.056 0.627 0.724
0.570 0.944 0.668
0.430 0.373 0.597
0.373 0.944 0.776
0.597 0.724 0.668
0.332 0.556 0.430
0.776 0.444 0.373
0.832 0.903 0.276
0.668 0.224 0.597
0.127 0.724 0.556
0.097 0.930 0.373
0.444 0.668 0.070
0.625 0.375 0.750
0.875 0.125 0.250
0.625 0.250 0.375
0.250 0.625 0.875
0.125 0.875 0.750
0.875 0.750 0.125
0.375 0.625 0.250
0.750 0.375 0.125
0.125 0.250 0.875
0.250 0.125 0.375
0.750 0.875 0.625
0.375 0.750 0.625
0.750 0.125 0.875
0.625 0.875 0.250
0.125 0.375 0.250
0.250 0.875 0.125
0.375 0.125 0.750
0.375 0.250 0.125
0.750 0.625 0.375
0.125 0.750 0.375
0.000 0.500 0.500
0.500 0.000 0.000
0.250 0.375 0.625
0.500 0.500 0.500
0.625 0.750 0.875
0.000 0.000 0.000
0.875 0.625 0.750
0.875 0.250 0.625
0.000 0.000 0.500
0.500 0.000 0.500
0.500 0.500 0.000
0.000 0.500 0.000
```

---

# 12
## Li7PmPb4 (PBE)

Data for a relaxed structure of Li7PmPb4.

Cell and atoms, written as POSCAR:
```
Li7PmPb4
1.0
5.207 0.000 0.000
2.604 8.815 -0.354
2.604 0.020 5.764
Li Pb Pm
7 4 1
Direct
0.651 0.457 0.240
0.227 0.091 0.455
0.773 0.909 0.545
0.052 0.629 0.267
0.948 0.371 0.733
0.500 0.000 0.000
0.349 0.543 0.760
0.399 0.784 0.419
0.711 0.696 0.882
0.289 0.304 0.118
0.601 0.216 0.581
0.000 0.000 0.000
```

---

# 13
## LiPm4Pb3 (PBE)

Data for a relaxed structure of LiPm4Pb3.

Cell and atoms, written as POSCAR:
```
LiPm4Pb3
1.0
4.578 0.000 0.000
0.000 4.529 0.000
0.000 0.000 11.838
Pm Pb Li
4 3 1
Direct
0.000 0.500 0.867
0.500 0.500 0.364
0.500 0.000 0.639
0.000 0.000 0.135
0.000 0.000 0.405
0.000 0.500 0.598
0.500 0.000 0.923
0.500 0.500 0.069
```

---

# 14
## LiPmPb (PBE)

Data for a relaxed structure of LiPmPb.

Cell and atoms, written as POSCAR:
```
LiPmPb
1.0
-1.016 -2.708 -3.854
-2.571 -0.502 4.044
-4.901 5.331 -2.454
Pm Pb Li
2 2 2
Direct
0.000 0.500 0.500
0.000 0.500 0.000
0.667 0.833 0.750
0.333 0.167 0.250
0.667 0.833 0.250
0.333 0.167 0.750
```

---

# 15
## Li2PmPr2Pb2 (PBE)

Data for a relaxed structure of Li2PmPr2Pb2.

Cell and atoms, written as POSCAR:
```
Li2PmPr2Pb2
1.0
4.901 0.000 0.000
2.451 4.245 0.000
2.451 1.415 9.386
Pm Pr Pb Li
1 2 2 2
Direct
0.000 0.000 0.000
0.871 0.871 0.387
0.129 0.129 0.613
0.734 0.734 0.798
0.266 0.266 0.202
0.600 0.600 0.201
0.400 0.400 0.799
```

---

# 16
## LiPmPrPb (PBE)

Data for a relaxed structure of LiPmPrPb.

Cell and atoms, written as POSCAR:
```
LiPmPrPb
1.0
-1.422 2.455 4.658
-4.768 2.623 0.354
-4.025 -2.060 3.049
Pm Pb Pr Li
1 1 1 1
Direct
0.500 0.500 0.500
0.250 0.250 0.250
0.000 0.000 0.000
0.750 0.750 0.750
```

---

# 17
## LiPm3Rh2Pb3 (PBE)

Data for a relaxed structure of LiPm3Rh2Pb3.

Cell and atoms, written as POSCAR:
```
LiPm3Rh2Pb3
1.0
-0.386 -2.057 -3.289
7.823 -1.183 -0.177
-4.695 -5.140 3.764
Li Pb Rh Pm
1 3 2 3
Direct
0.000 0.000 0.000
0.500 0.261 0.261
0.500 0.739 0.000
0.500 0.000 0.739
0.500 0.667 0.333
0.500 0.333 0.667
0.000 0.000 0.413
0.000 0.413 0.000
0.000 0.587 0.587
```

---

# 18
## Li2Pm3RhPb3 (PBE)

Data for a relaxed structure of Li2Pm3RhPb3.

Cell and atoms, written as POSCAR:
```
Li2Pm3RhPb3
1.0
3.600 0.000 0.000
0.000 8.572 0.000
0.000 -4.286 7.423
Pm Pb Rh Li
3 3 1 2
Direct
0.500 0.259 0.259
0.500 0.000 0.741
0.500 0.741 0.000
0.000 0.393 0.000
0.000 0.000 0.393
0.000 0.607 0.607
0.000 0.000 0.000
0.500 0.667 0.333
0.500 0.333 0.667
```

---

# 19
## LiPmRuPb (PBE)

Data for a relaxed structure of LiPmRuPb.

Cell and atoms, written as POSCAR:
```
LiPmRuPb
1.0
-0.611 3.576 3.235
-4.473 1.580 1.060
-1.951 -0.963 4.347
Pb Ru Li Pm
1 1 1 1
Direct
0.500 0.500 0.500
0.750 0.750 0.750
0.250 0.250 0.250
0.000 0.000 0.000
```

---

no.,theoretical density (Mg/m³),formation energy (eV/atom),spin magnetization (μB/f.u.)
1,8.40,-0.273,0.00
2,7.94,-0.510,0.00
3,7.20,-0.203,0.00
4,7.76,-0.391,0.00
5,9.52,-0.442,0.00
6,7.60,-0.250,0.00
7,8.02,-0.300,0.00
8,9.30,-0.221,0.00
9,8.03,-0.376,0.20
10,7.70,-0.500,0.00
11,5.92,0.297,2.21
12,6.42,-0.168,0.00
13,8.18,-0.392,1.35
14,7.76,-0.534,0.00
15,7.27,-0.355,0.00
16,7.24,-0.326,0.00
17,9.97,-0.602,0.00
18,8.51,-0.503,0.00
19,9.41,-0.175,0.00